{"formula": "ScN", "functional": "PBE", "state": "relaxed", "spacegroup": "No. 225", "formation_energy_uncorrected_mev_per_atom": -1917.8, "volume_a3_per_atom": 11.5, "final_energy_ev_per_atom": -9.246, "lattice": [[3.1946, 0.0010, -0.0012], [1.5969, 2.7667, 0.0014], [0.0015, 1.8427, 2.6096]], "species": ["N", "Sc"], "frac_coords": [[0.6293, 0.9974, 0.8797], [0.1293, 0.9973, 0.3797]]}